[1]
Computed, not measured: a geometry-optimized KSmTl2 structure at the PBE level of DFT.

Cell: 3.8260 3.8260 11.1091 Å, 80.08 80.08 60.00°
Closest atoms and distances in Å follow each position.
Fractional coordinates of all 4 atoms:
Tl 0.0766 0.0766 0.7701  3 Sm 3.33, 3 K 3.67
Tl 0.2568 0.2568 0.2296  3 Sm 3.34, 3 K 3.69
Sm 0.6670 0.6670 0.9990  6 Tl 3.33-3.34
K 0.4995 0.4995 0.5014  6 Tl 3.67-3.69, 6 K 3.83

Output
V = 138.0 Å³ per cell
Excess energy over the best structure of this formula in the dataset = 151.9 meV per atom
Mass density = 7.20 g/cm³
Space group = No. 160
Size of the total moment = 0.00 μB per cell
Calculated formation energy = -1.39 kcal/mol of atoms

***

[2]
Computed, not measured: a geometry-optimized NaTmGeO4 structure at the PBE level of DFT.

Cell: 5.3008 6.4224 11.3948 Å, 90.00 90.00 90.00°
Closest atoms and distances in Å follow each position.
Fractional coordinates of all 28 atoms:
O 0.2074 0.4594 0.8236  1 Ge 1.81
O 0.2074 0.0406 0.8236  1 Ge 1.81
O 0.2234 0.7500 0.6123  1 Ge 1.75
O 0.2926 0.4594 0.3236  1 Ge 1.81
O 0.2926 0.0406 0.3236  1 Ge 1.81
O 0.7926 0.9594 0.1764  1 Ge 1.81
O 0.3310 0.2500 0.5462  1 Ge 1.76
O 0.8310 0.7500 0.9538  1 Ge 1.76
O 0.1690 0.2500 0.0462  1 Ge 1.76
O 0.6690 0.7500 0.4538  1 Ge 1.76
O 0.2766 0.7500 0.1123  1 Ge 1.75
O 0.7074 0.9594 0.6764  1 Ge 1.81
O 0.7074 0.5406 0.6764  1 Ge 1.81
O 0.7234 0.2500 0.8877  1 Ge 1.75
O 0.7766 0.2500 0.3877  1 Ge 1.75
O 0.7926 0.5406 0.1764  1 Ge 1.81
Ge 0.9486 0.7500 0.0986  4 O 1.75-1.81
Ge 0.4486 0.2500 0.4014  4 O 1.75-1.81
Ge 0.5514 0.7500 0.5986  4 O 1.75-1.81
Ge 0.0514 0.2500 0.9014  4 O 1.75-1.81
Tm 0.4937 0.2500 0.7231  6 O 2.19-2.33
Tm 0.9937 0.7500 0.7769  6 O 2.19-2.33
Tm 0.0063 0.2500 0.2231  6 O 2.19-2.33
Tm 0.5063 0.7500 0.2769  6 O 2.19-2.33
Na 0.0000 0.0000 0.5000  6 O 2.37-2.55
Na 0.0000 0.5000 0.5000  6 O 2.37-2.55
Na 0.5000 0.0000 0.0000  6 O 2.37-2.55
Na 0.5000 0.5000 0.0000  6 O 2.37-2.55

Output
V = 387.9 Å³ per cell
Excess energy over the best structure of this formula in the dataset = 0.0 meV per atom
Mass density = 5.63 g/cm³
Space group = No. 62
Size of the total moment = 0.00 μB per cell
Formation energy (no corrections) = -2.502 eV/atom

***

[3]
Computed, not measured: a geometry-optimized Nb3SbRh structure at the PBE level of DFT.

Cell: 4.9637 4.9637 4.9637 Å, 90.00 90.00 90.00°
Closest atoms and distances in Å follow each position.
Fractional coordinates of all 5 atoms:
Nb 0.0000 0.0000 0.5000  2 Sb 2.48
Nb 0.5000 0.0000 0.0000  2 Sb 2.48
Nb 0.0000 0.5000 0.0000  2 Sb 2.48
Rh 0.5000 0.5000 0.5000  12 Nb 3.51
Sb 0.0000 0.0000 0.0000  6 Nb 2.48

Output
V = 122.3 Å³ per cell
Excess energy over the best structure of this formula in the dataset = 901.1 meV per atom
Mass density = 6.83 g/cm³
Space group = No. 221
Size of the total moment = 0.00 μB per cell
Formation energy (no corrections) = 1.693 eV/atom

***

[4]
Computed, not measured: a geometry-optimized BeAs3Pt structure at the PBE level of DFT.

Cell: 4.4044 4.4044 4.4044 Å, 90.00 90.00 90.00°
Closest atoms and distances in Å follow each position.
Fractional coordinates of all 5 atoms:
As 0.5000 0.0000 0.0000  2 Be 2.20
As 0.0000 0.0000 0.5000  2 Be 2.20
As 0.0000 0.5000 0.0000  2 Be 2.20
Be 0.0000 0.0000 0.0000  6 As 2.20
Pt 0.5000 0.5000 0.5000  12 As 3.11

Output
V = 85.4 Å³ per cell
Excess energy over the best structure of this formula in the dataset = 0.0 meV per atom
Mass density = 8.33 g/cm³
Space group = No. 221
Size of the total moment = 0.00 μB per cell
Calculated formation energy = 12.27 kcal/mol of atoms

***

[5]
Computed, not measured: a geometry-optimized Li2Pa2Se5 structure at the PBE level of DFT.

Cell: 7.2721 6.8765 9.9653 Å, 110.18 111.40 90.00°
Closest atoms and distances in Å follow each position.
Fractional coordinates of all 18 atoms:
Pa 0.8434 0.4271 0.8104  5 Se 2.75-3.05
Pa 0.5330 0.1167 0.1896  5 Se 2.76-3.05
Pa 0.1566 0.6167 0.1896  5 Se 2.76-3.05
Pa 0.4670 0.9271 0.8104  5 Se 2.76-3.05
Se 0.1831 0.7010 0.5000  2 Li 2.55
Se 0.7463 0.7531 0.6965  2 Li 2.58-2.76, 2 Pa 2.76-2.83
Se 0.2537 0.0566 0.3035  2 Li 2.58-2.76, 2 Pa 2.76-2.83
Se 0.8169 0.2010 0.5000  2 Li 2.55
Se 0.7596 0.7676 0.0586  2 Li 2.53-2.59
Se 0.7989 0.2676 0.0586  2 Li 2.53-2.59
Se 0.2404 0.7090 0.9414  2 Li 2.53-2.59
Se 0.5498 0.5566 0.3035  2 Li 2.58-2.76, 2 Pa 2.76-2.83
Se 0.2011 0.2090 0.9414  2 Li 2.53-2.59
Se 0.4502 0.2531 0.6965  2 Li 2.58-2.76, 2 Pa 2.75-2.83
Li 0.1443 0.3321 0.5000  4 Se 2.55-2.58
Li 0.8557 0.8321 0.5000  4 Se 2.55-2.58
Li 0.5000 0.4728 0.0000  6 Se 2.53-2.76
Li 0.0000 0.9728 0.0000  6 Se 2.53-2.76

Output
V = 430.9 Å³ per cell
Excess energy over the best structure of this formula in the dataset = 0.0 meV per atom
Mass density = 6.71 g/cm³
Space group = No. 46
Size of the total moment = 4.04 μB per cell
Formation energy (no corrections) = -1.216 eV/atom

***

[6]
Computed, not measured: a geometry-optimized TcRu2Pt structure at the PBE level of DFT.

Cell: 4.7284 4.7284 2.7327 Å, 90.00 90.00 109.12°
Closest atoms and distances in Å follow each position.
Fractional coordinates of all 4 atoms:
Pt 0.0000 0.5000 0.5000  8 Ru 2.73, 2 Pt 2.73, 2 Tc 2.74
Tc 0.5000 0.0000 0.5000  8 Ru 2.73, 2 Tc 2.73, 2 Pt 2.74
Ru 0.0000 0.0000 0.0000  4 Pt 2.73, 4 Tc 2.73, 4 Ru 2.73-2.74
Ru 0.5000 0.5000 0.0000  4 Tc 2.73, 4 Pt 2.73, 4 Ru 2.73-2.74

Output
V = 57.7 Å³ per cell
Excess energy over the best structure of this formula in the dataset = 93.1 meV per atom
Mass density = 14.25 g/cm³
Space group = No. 65
Size of the total moment = 0.00 μB per cell
Calculated formation energy = 0.41 kcal/mol of atoms

***

[7]
Computed, not measured: a geometry-optimized ReAgTe2 structure at the PBE level of DFT.

Cell: 4.8534 4.8534 4.8534 Å, 60.00 60.00 60.00°
Closest atoms and distances in Å follow each position.
Fractional coordinates of all 4 atoms:
Te 0.7500 0.7500 0.7500  4 Re 2.97, 4 Ag 2.97
Te 0.2500 0.2500 0.2500  4 Re 2.97, 4 Ag 2.97
Ag 0.0000 0.0000 0.0000  8 Te 2.97
Re 0.5000 0.5000 0.5000  8 Te 2.97

Output
V = 80.8 Å³ per cell
Excess energy over the best structure of this formula in the dataset = 306.3 meV per atom
Mass density = 11.28 g/cm³
Space group = No. 225
Size of the total moment = 0.00 μB per cell
Formation energy (no corrections) = 0.621 eV/atom

***

[8]
Computed, not measured: a geometry-optimized CaNi2Br structure at the PBE level of DFT.

Cell: 3.9159 3.9159 10.3210 Å, 79.06 79.06 90.00°
Closest atoms and distances in Å follow each position.
Fractional coordinates of all 8 atoms:
Ni 0.8750 0.9295 0.7500  2 Ni 2.49, 2 Br 2.78
Ni 0.0705 0.6250 0.2500  2 Ni 2.49, 2 Br 2.78
Ni 0.3750 0.3205 0.7500  2 Ni 2.49, 2 Br 2.78
Ni 0.6795 0.1250 0.2500  2 Ni 2.49, 2 Br 2.78
Ca 0.2500 0.7500 0.5000  4 Br 2.77, 4 Ni 2.93
Ca 0.5000 0.5000 0.0000  4 Br 2.77, 4 Ni 2.93
Br 0.0000 0.0000 0.0000  4 Ca 2.77, 4 Ni 2.78
Br 0.7500 0.2500 0.5000  4 Ca 2.77, 4 Ni 2.78

Output
V = 152.5 Å³ per cell
Excess energy over the best structure of this formula in the dataset = 346.9 meV per atom
Mass density = 5.17 g/cm³
Space group = No. 122
Size of the total moment = 0.00 μB per cell
Formation energy (no corrections) = 0.085 eV/atom

***

[9]
Computed, not measured: a geometry-optimized LaCeEr structure at the PBE level of DFT.

Cell: 6.1803 3.5800 17.1283 Å, 102.09 32.93 90.04°
Closest atoms and distances in Å follow each position.
Fractional coordinates of all 6 atoms:
La 0.6698 0.9607 0.2592  3 Ce 3.42-3.47, 5 Er 3.56-3.70, 4 La 3.58-3.77
La 0.3664 0.0908 0.8916  3 Ce 3.42-3.47, 5 Er 3.56-3.70, 4 La 3.58-3.77
Ce 0.7477 0.7790 0.5799  3 La 3.42-3.47, 3 Er 3.46-3.49, 6 Ce 3.46-3.68
Ce 0.2884 0.2725 0.5710  3 La 3.42-3.47, 3 Er 3.46-3.49, 6 Ce 3.46-3.68
Er 0.8327 0.6040 0.9049  3 Ce 3.46-3.49, 5 La 3.56-3.70, 4 Er 3.58-3.59
Er 0.2035 0.4476 0.2459  3 Ce 3.46-3.49, 5 La 3.56-3.70, 4 Er 3.58-3.59

Output
V = 190.2 Å³ per cell
Excess energy over the best structure of this formula in the dataset = 0.0 meV per atom
Mass density = 7.79 g/cm³
Space group = No. 2
Size of the total moment = 0.32 μB per cell
Calculated formation energy = 1.27 kcal/mol of atoms

***

[10]
Computed, not measured: a geometry-optimized Th2TcRu structure at the PBE level of DFT.

Cell: 3.4540 3.4540 9.5746 Å, 79.61 79.61 60.00°
Closest atoms and distances in Å follow each position.
Fractional coordinates of all 4 atoms:
Ru 0.5000 0.5000 0.5000  6 Th 2.92
Th 0.9091 0.9091 0.2728  1 Tc 2.55
Th 0.0909 0.0909 0.7272  1 Tc 2.55
Tc 0.0000 0.0000 0.0000  2 Th 2.55

Output
V = 96.8 Å³ per cell
Mass density = 11.38 g/cm³
Space group = No. 166
Size of the total moment = 0.00 μB per cell
Calculated formation energy = 11.50 kcal/mol of atoms

***

[11]
Computed, not measured: a geometry-optimized UBiTe3 structure at the PBE level of DFT.

Cell: 4.2777 9.0783 8.7322 Å, 86.03 90.00 90.00°
Closest atoms and distances in Å follow each position.
Fractional coordinates of all 10 atoms:
U 0.2500 0.2315 0.4003  8 Te 3.14-3.41
U 0.7500 0.7685 0.5997  8 Te 3.14-3.41
Te 0.2500 0.0008 0.6905  3 U 3.14-3.17, 1 Bi 3.23, 1 Te 3.50
Te 0.2500 0.6378 0.8538  3 Bi 3.06-3.30, 2 U 3.25
Te 0.7500 0.9992 0.3095  3 U 3.14-3.17, 1 Bi 3.23, 1 Te 3.50
Te 0.7500 0.3622 0.1462  3 Bi 3.06-3.30, 2 U 3.25
Te 0.7500 0.3925 0.6172  2 Bi 3.15, 3 U 3.27-3.41, 2 Te 3.47
Te 0.2500 0.6075 0.3828  2 Bi 3.15, 3 U 3.27-3.41, 2 Te 3.47
Bi 0.2500 0.3002 0.8703  6 Te 3.06-3.30
Bi 0.7500 0.6998 0.1297  6 Te 3.06-3.30

Output
V = 338.3 Å³ per cell
Excess energy over the best structure of this formula in the dataset = 11.0 meV per atom
Mass density = 8.15 g/cm³
Space group = No. 11
Size of the total moment = 6.03 μB per cell
Formation energy (no corrections) = -0.361 eV/atom

***

[12]
Computed, not measured: a geometry-optimized TlVAs2 structure at the PBE level of DFT.

Cell: 6.2470 6.2470 7.3407 Å, 64.82 64.82 90.00°
Closest atoms and distances in Å follow each position.
Fractional coordinates of all 8 atoms:
V 0.2500 0.7500 0.5000  4 As 2.36
V 0.5000 0.5000 0.0000  4 As 2.36
As 0.3750 0.4669 0.7500  2 V 2.36
As 0.5331 0.1250 0.2500  2 V 2.36
As 0.8750 0.7831 0.7500  2 V 2.36
As 0.2169 0.6250 0.2500  2 V 2.36
Tl 0.0000 0.0000 0.0000  4 As 3.02
Tl 0.7500 0.2500 0.5000  4 As 3.02

Output
V = 228.8 Å³ per cell
Excess energy over the best structure of this formula in the dataset = 200.1 meV per atom
Mass density = 5.88 g/cm³
Space group = No. 122
Size of the total moment = 0.85 μB per cell
Calculated formation energy = 2.57 kcal/mol of atoms